1.
DFT (PBE) results for crystalline LiSmTe3Pd at its relaxed geometry.

Cell: 8.049 8.049 10.223 Å, 90.00 90.00 149.26°
Atoms (fractional coordinates):
Li (0.232, 0.768, 0.750)
Li (0.768, 0.232, 0.250)
Sm (0.000, 0.000, 0.000)
Sm (0.000, 0.000, 0.500)
Te (0.116, 0.884, 0.250)
Te (0.363, 0.637, 0.094)
Te (0.363, 0.637, 0.406)
Te (0.637, 0.363, 0.594)
Te (0.637, 0.363, 0.906)
Te (0.884, 0.116, 0.750)
Pd (0.498, 0.502, 0.750)
Pd (0.502, 0.498, 0.250)

Values from the calculation:
DFT total energy, eV/atom: -4.42
Magnetic moment, μB per atom: 0.00



2.
DFT (PBE) results for crystalline LiSnPd2 at its relaxed geometry.

Cell: 4.545 4.545 8.017 Å, 90.00 90.00 120.00°
Atoms (fractional coordinates):
Li (0.333, 0.667, 0.250)
Li (0.667, 0.333, 0.750)
Sn (0.000, 0.000, 0.000)
Sn (0.000, 0.000, 0.500)
Pd (0.333, 0.667, 0.577)
Pd (0.333, 0.667, 0.923)
Pd (0.667, 0.333, 0.077)
Pd (0.667, 0.333, 0.423)

Values from the calculation:
DFT total energy, eV/atom: -4.58



3.
DFT (PBE) results for crystalline LiSnPd2 at its relaxed geometry.

Cell: 4.467 4.467 8.024 Å, 90.00 90.00 120.00°
Atoms (fractional coordinates):
Li (0.000, 0.000, 0.250)
Li (0.000, 0.000, 0.750)
Sn (0.333, 0.667, 0.250)
Sn (0.667, 0.333, 0.750)
Pd (0.333, 0.667, 0.584)
Pd (0.333, 0.667, 0.916)
Pd (0.667, 0.333, 0.084)
Pd (0.667, 0.333, 0.416)

Values from the calculation:
DFT total energy, eV/atom: -4.48